(1)
The following is a PBE-GGA calculation of a geometry-optimized PrEuSbBr structure, from the Alexandria database.

ΔE_f (raw) (kJ/mol of formula units): -455
DOS(E_F) (states/eV/atom): 0.366
Final energy (eV/cell): -25.57

a = 5.4997 Å, b = 5.4997 Å, c = 5.4997 Å
α = 60.00°, β = 60.00°, γ = 60.00°
With the nearest neighbours (Å) after each atom.
Positions (direct):
Eu 0.0000 0.0000 0.0000  4 Sb 3.37, 4 Br 3.37
Pr 0.5000 0.5000 0.5000  4 Br 3.37, 4 Sb 3.37
Br 0.7500 0.7500 0.7500  4 Pr 3.37, 4 Eu 3.37
Sb 0.2500 0.2500 0.2500  4 Pr 3.37, 4 Eu 3.37


(2)
The following is a PBE-GGA calculation of a geometry-optimized BeVPCl2 structure, from the Alexandria database.

ΔE_f (raw) (kJ/mol of formula units): 77
DOS(E_F) (states/eV/atom): 0.876
Final energy (eV/cell): -21.15

a = 4.0113 Å, b = 4.0113 Å, c = 6.3747 Å
α = 90.00°, β = 90.00°, γ = 90.00°
With the nearest neighbours (Å) after each atom.
Positions (direct):
P 0.0000 0.0000 0.5000  4 V 2.84
Cl 0.0000 0.5000 0.0000  2 Be 2.01
Cl 0.5000 0.0000 0.0000  2 Be 2.01
Be 0.0000 0.0000 0.0000  4 Cl 2.01
V 0.5000 0.5000 0.5000  4 P 2.84


(3)
The following is a PBE-GGA calculation of a geometry-optimized Hf3TcSb structure, from the Alexandria database.

ΔE_f (raw) (kJ/mol of formula units): 140
DOS(E_F) (states/eV/atom): 1.351
Final energy (eV/cell): -42.89

a = 4.9800 Å, b = 4.9800 Å, c = 4.9800 Å
α = 90.00°, β = 90.00°, γ = 90.00°
With the nearest neighbours (Å) after each atom.
Positions (direct):
Sb 0.5000 0.5000 0.5000  12 Hf 3.52
Hf 0.0000 0.5000 0.0000  2 Tc 2.49
Hf 0.0000 0.0000 0.5000  2 Tc 2.49
Hf 0.5000 0.0000 0.0000  2 Tc 2.49
Tc 0.0000 0.0000 0.0000  6 Hf 2.49


(4)
The following is a PBE-GGA calculation of a geometry-optimized YZnB2 structure, from the Alexandria database.

DOS(E_F) (states/eV/atom): 0.261
Final energy (eV/cell): -40.63
Formation energy (eV per atom): 0.194

a = 4.0570 Å, b = 4.0570 Å, c = 7.6038 Å
α = 74.53°, β = 74.53°, γ = 90.00°
With the nearest neighbours (Å) after each atom.
Positions (direct):
Y 0.0000 0.0000 0.0000  4 Zn 2.87, 8 B 2.87
Y 0.7500 0.2500 0.5000  4 Zn 2.87, 8 B 2.87
Zn 0.5000 0.5000 0.0000  4 B 2.03
Zn 0.2500 0.7500 0.5000  4 B 2.03
B 0.3750 0.1250 0.2500  2 B 2.03, 2 Zn 2.03
B 0.3750 0.6250 0.2500  2 B 2.03, 2 Zn 2.03
B 0.3750 0.6250 0.7500  2 B 2.03, 2 Zn 2.03
B 0.8750 0.6250 0.7500  2 B 2.03, 2 Zn 2.03


(5)
The following is a PBE-GGA calculation of a geometry-optimized BaRhSe2N structure, from the Alexandria database.

ΔE_f (raw) (kJ/mol of formula units): -218
DOS(E_F) (states/eV/atom): 0.566
Final energy (eV/cell): -26.83

a = 5.4328 Å, b = 5.4328 Å, c = 3.7575 Å
α = 90.00°, β = 90.00°, γ = 90.00°
With the nearest neighbours (Å) after each atom.
Positions (direct):
Rh 0.0000 0.0000 0.0000  2 N 1.88
Ba 0.5000 0.5000 0.5000  8 Se 3.30
Se 0.0000 0.5000 0.0000  2 Rh 2.72
Se 0.5000 0.0000 0.0000  2 Rh 2.72
N 0.0000 0.0000 0.5000  2 Rh 1.88


(6)
The following is a PBE-GGA calculation of a geometry-optimized Pr3Nd2Ho4 structure, from the Alexandria database.

DOS(E_F) (states/eV/atom): 1.548
Final energy (eV/cell): -82.69
Formation energy (eV per atom): 0.093

a = 6.1964 Å, b = 11.3407 Å, c = 11.3407 Å
α = 63.07°, β = 63.26°, γ = 63.26°
With the nearest neighbours (Å) after each atom.
Positions (direct):
Pr 0.7667 0.0208 0.3043  2 Nd 3.35-3.71, 8 Ho 3.42-3.64
Pr 0.7333 0.6957 0.9792  2 Nd 3.35-3.71, 8 Ho 3.42-3.64
Pr 0.2333 0.9792 0.6957  2 Nd 3.35-3.71, 8 Ho 3.42-3.64
Pr 0.2667 0.3043 0.0208  2 Nd 3.35-3.71, 8 Ho 3.42-3.64
Pr 0.2500 0.6307 0.3693  4 Ho 3.57-3.79, 6 Nd 3.59-3.61
Pr 0.7500 0.3693 0.6307  4 Ho 3.57-3.79, 6 Nd 3.59-3.61
Nd 0.4362 0.2586 0.5164  5 Pr 3.35-3.71, 3 Ho 3.47-3.51, 1 Nd 3.69
Nd 0.0638 0.4836 0.7414  5 Pr 3.35-3.71, 3 Ho 3.47-3.51, 1 Nd 3.69
Nd 0.5638 0.7414 0.4836  5 Pr 3.35-3.71, 3 Ho 3.47-3.51, 1 Nd 3.69
Nd 0.9362 0.5164 0.2586  5 Pr 3.35-3.71, 3 Ho 3.47-3.51, 1 Nd 3.69
Ho 0.4246 0.9418 0.1728  3 Ho 3.33-3.49, 1 Nd 3.47, 5 Pr 3.48-3.64
Ho 0.0754 0.8272 0.0582  3 Ho 3.33-3.49, 1 Nd 3.47, 5 Pr 3.48-3.64
Ho 0.5754 0.0582 0.8272  3 Ho 3.33-3.49, 1 Nd 3.47, 5 Pr 3.48-3.64
Ho 0.9246 0.1728 0.9418  3 Ho 3.33-3.49, 1 Nd 3.47, 5 Pr 3.48-3.64
Ho 0.0999 0.1520 0.3868  5 Pr 3.42-3.79, 2 Ho 3.49-3.60, 3 Nd 3.50-3.82
Ho 0.4001 0.6132 0.8480  5 Pr 3.42-3.79, 2 Ho 3.49-3.60, 3 Nd 3.50-3.82
Ho 0.9001 0.8480 0.6132  5 Pr 3.42-3.79, 2 Ho 3.49-3.60, 3 Nd 3.50-3.82
Ho 0.5999 0.3868 0.1520  5 Pr 3.42-3.79, 2 Ho 3.49-3.60, 3 Nd 3.50-3.82


(7)
The following is a PBE-GGA calculation of a geometry-optimized Rb2ZnH structure, from the Alexandria database.

DOS(E_F) (states/eV/atom): 0.564
Final energy (eV/cell): -5.46

a = 5.9125 Å, b = 5.9125 Å, c = 5.9125 Å
α = 60.00°, β = 60.00°, γ = 60.00°
With the nearest neighbours (Å) after each atom.
Positions (direct):
H 0.0000 0.0000 0.0000  8 Rb 3.62
Zn 0.5000 0.5000 0.5000  8 Rb 3.62
Rb 0.2500 0.2500 0.2500  4 H 3.62, 4 Zn 3.62
Rb 0.7500 0.7500 0.7500  4 Zn 3.62, 4 H 3.62


(8)
The following is a PBE-GGA calculation of a geometry-optimized PuGaHPd2 structure, from the Alexandria database.

DOS(E_F) (states/eV/atom): 2.686
Final energy (eV/cell): -67.48

a = 3.7738 Å, b = 5.9466 Å, c = 7.4795 Å
α = 90.00°, β = 90.00°, γ = 108.50°
With the nearest neighbours (Å) after each atom.
Positions (direct):
Pu 0.4562 0.9125 0.7500  4 H 2.70
Pu 0.5438 0.0875 0.2500  4 H 2.70
Ga 0.7381 0.4762 0.7500  6 Pd 2.56-2.59
Ga 0.2619 0.5238 0.2500  6 Pd 2.56-2.59
H 0.0000 0.0000 0.0000  2 Pd 1.79
H 0.0000 0.0000 0.5000  2 Pd 1.79
Pd 0.1546 0.3092 0.9438  1 H 1.79
Pd 0.8454 0.6908 0.0562  1 H 1.79
Pd 0.1546 0.3092 0.5562  1 H 1.79
Pd 0.8454 0.6908 0.4438  1 H 1.79


(9)
The following is a PBE-GGA calculation of a geometry-optimized YGaNO2 structure, from the Alexandria database.

ΔE_f (raw) (kJ/mol of formula units): -254
DOS(E_F) (states/eV/atom): 0.770
Final energy (eV/cell): -30.36

a = 4.4167 Å, b = 4.4167 Å, c = 4.7317 Å
α = 90.00°, β = 90.00°, γ = 90.00°
With the nearest neighbours (Å) after each atom.
Positions (direct):
Y 0.0000 0.0000 0.0000  4 O 2.21, 2 N 2.37
O 0.0000 0.5000 0.0000  2 Y 2.21
O 0.5000 0.0000 0.0000  2 Y 2.21
Ga 0.5000 0.5000 0.5000  4 N 3.12, 8 O 3.24
N 0.0000 0.0000 0.5000  2 Y 2.37


(10)
The following is a PBE-GGA calculation of a geometry-optimized ErCoSi2Ru structure, from the Alexandria database.

ΔE_f (raw) (kJ/mol of formula units): -417
DOS(E_F) (states/eV/atom): 0.409
Final energy (eV/cell): -36.12

a = 4.0080 Å, b = 4.0080 Å, c = 5.6140 Å
α = 110.91°, β = 110.91°, γ = 90.00°
With the nearest neighbours (Å) after each atom.
Positions (direct):
Er 0.0000 0.0000 0.0000  8 Si 3.09, 4 Co 3.14, 4 Ru 3.14
Co 0.2500 0.7500 0.5000  4 Si 2.33
Si 0.6276 0.6276 0.2552  2 Co 2.33, 2 Ru 2.33, 1 Si 2.47
Si 0.3724 0.3724 0.7448  2 Co 2.33, 2 Ru 2.33, 1 Si 2.47
Ru 0.7500 0.2500 0.5000  4 Si 2.33


(11)
The following is a PBE-GGA calculation of a geometry-optimized CoSiNi2 structure, from the Alexandria database.

ΔE_f (raw) (kJ/mol of formula units): -100
DOS(E_F) (states/eV/atom): 1.398
Final energy (eV/cell): -25.13

a = 2.5711 Å, b = 3.3141 Å, c = 5.0574 Å
α = 90.00°, β = 90.00°, γ = 90.00°
With the nearest neighbours (Å) after each atom.
Positions (direct):
Co 0.5000 0.5000 0.7410  4 Si 2.41, 6 Ni 2.46-2.60, 2 Co 2.57
Ni 0.0000 0.0000 0.9994  6 Ni 2.46-2.57, 4 Co 2.47, 2 Si 2.50-2.56
Ni 0.5000 0.5000 0.2545  4 Si 2.45, 2 Co 2.46-2.60, 6 Ni 2.46-2.57
Si 0.0000 0.0000 0.5052  4 Co 2.41, 6 Ni 2.45-2.56, 2 Si 2.57


(12)
The following is a PBE-GGA calculation of a geometry-optimized Rb2Mg structure, from the Alexandria database.

DOS(E_F) (states/eV/atom): 0.741
Final energy (eV/cell): -6.01
Formation energy (eV per atom): 0.175

a = 9.9139 Å, b = 9.9139 Å, c = 5.5800 Å
α = 90.00°, β = 90.00°, γ = 131.12°
With the nearest neighbours (Å) after each atom.
Positions (direct):
Rb 0.8696 0.5949 0.7500  3 Mg 3.82-4.02
Rb 0.4051 0.1304 0.2500  3 Mg 3.82-4.02
Rb 0.1304 0.4051 0.2500  3 Mg 3.82-4.02
Rb 0.5949 0.8696 0.7500  3 Mg 3.82-4.02
Mg 0.9132 0.9132 0.2500  2 Mg 3.13
Mg 0.0868 0.0868 0.7500  2 Mg 3.13


(13)
The following is a PBE-GGA calculation of a geometry-optimized ZrPaIn structure, from the Alexandria database.

DOS(E_F) (states/eV/atom): 1.575
Final energy (eV/cell): -20.22
Formation energy (eV per atom): 0.186

a = 3.1232 Å, b = 5.1428 Å, c = 5.1428 Å
α = 120.00°, β = 90.00°, γ = 90.00°
With the nearest neighbours (Å) after each atom.
Positions (direct):
Pa 0.1713 0.0000 0.0000  3 Zr 2.97, 2 Pa 3.12
Zr 0.1578 0.6667 0.3333  3 Pa 2.97, 2 Zr 3.12
In 0.6709 0.3333 0.6667  2 In 3.12, 6 Zr 3.34-3.37, 6 Pa 3.35-3.36


(14)
The following is a PBE-GGA calculation of a geometry-optimized Sr2BiPd2 structure, from the Alexandria database.

DOS(E_F) (states/eV/atom): 0.457
Final energy (eV/cell): -21.23
Formation energy (eV per atom): -0.721

a = 4.7006 Å, b = 6.0306 Å, c = 6.0306 Å
α = 62.13°, β = 67.06°, γ = 67.06°
With the nearest neighbours (Å) after each atom.
Positions (direct):
Sr 0.7965 0.7035 0.7035  6 Pd 3.23-3.30, 2 Bi 3.60
Sr 0.2035 0.2965 0.2965  6 Pd 3.23-3.30, 2 Bi 3.60
Bi 0.0000 0.0000 0.0000  4 Pd 2.92
Pd 0.5000 0.7205 0.2795  1 Pd 2.75, 2 Bi 2.92
Pd 0.5000 0.2795 0.7205  1 Pd 2.75, 2 Bi 2.92


(15)
The following is a PBE-GGA calculation of a geometry-optimized Er2NiGe4Pd3 structure, from the Alexandria database.

DOS(E_F) (states/eV/atom): 0.725
Final energy (eV/cell): -55.97
Formation energy (eV per atom): -0.701

a = 4.1565 Å, b = 4.1565 Å, c = 10.4662 Å
α = 90.00°, β = 90.00°, γ = 90.00°
With the nearest neighbours (Å) after each atom.
Positions (direct):
Er 0.5000 0.0000 0.2637  8 Ge 3.16-3.46, 6 Pd 3.20-3.23, 2 Ni 3.23
Er 0.0000 0.5000 0.7363  8 Ge 3.16-3.46, 6 Pd 3.20-3.23, 2 Ni 3.23
Ni 0.5000 0.5000 0.5000  4 Ge 2.46
Ge 0.5000 0.5000 0.0000  4 Pd 2.56
Ge 0.0000 0.0000 0.0000  4 Pd 2.56
Ge 0.5000 0.0000 0.6254  3 Pd 2.43-2.46, 2 Ni 2.46
Ge 0.0000 0.5000 0.3746  3 Pd 2.43-2.46, 2 Ni 2.46
Pd 0.0000 0.0000 0.5000  4 Ge 2.46
Pd 0.5000 0.0000 0.8579  5 Ge 2.43-2.56
Pd 0.0000 0.5000 0.1421  5 Ge 2.43-2.56


(16)
The following is a PBE-GGA calculation of a geometry-optimized Y2Er3Cd2 structure, from the Alexandria database.

DOS(E_F) (states/eV/atom): 1.138
Final energy (eV/cell): -29.57
Formation energy (eV per atom): -0.160

a = 5.3469 Å, b = 5.3524 Å, c = 8.5083 Å
α = 108.29°, β = 90.00°, γ = 119.97°
With the nearest neighbours (Å) after each atom.
Positions (direct):
Y 0.9250 0.8501 0.2748  4 Cd 3.26-3.28, 3 Er 3.45, 1 Y 3.57
Y 0.0750 0.1499 0.7252  4 Cd 3.26-3.28, 3 Er 3.45, 1 Y 3.57
Er 0.5000 0.0000 0.0000  6 Cd 3.27
Er 0.6560 0.3120 0.4684  3 Er 3.13, 1 Cd 3.13, 3 Y 3.45
Er 0.3440 0.6880 0.5316  3 Er 3.13, 1 Cd 3.13, 3 Y 3.45
Cd 0.7877 0.5755 0.8632  4 Er 3.13-3.27, 4 Y 3.26-3.28
Cd 0.2123 0.4245 0.1368  4 Er 3.13-3.27, 4 Y 3.26-3.28


(17)
The following is a PBE-GGA calculation of a geometry-optimized SmUCdO6 structure, from the Alexandria database.

ΔE_f (raw) (kJ/mol of formula units): -2085
DOS(E_F) (states/eV/atom): 0.987
Final energy (eV/cell): -68.28

a = 4.5837 Å, b = 5.9124 Å, c = 5.9124 Å
α = 120.00°, β = 90.00°, γ = 90.00°
With the nearest neighbours (Å) after each atom.
Positions (direct):
Sm 0.5000 0.6667 0.3333  6 O 2.33
U 0.5000 0.0000 0.0000  6 O 2.08
Cd 0.0000 0.3333 0.6667  6 O 2.41
O 0.7322 0.6982 0.6985  1 U 2.08
O 0.7322 0.3015 0.9996  1 U 2.08
O 0.7322 0.0004 0.3018  1 U 2.08
O 0.2678 0.3015 0.3018  1 U 2.08
O 0.2678 0.6982 0.9996  1 U 2.08
O 0.2678 0.0004 0.6985  1 U 2.08


(18)
The following is a PBE-GGA calculation of a geometry-optimized Hf2HgBr structure, from the Alexandria database.

ΔE_f (raw) (kJ/mol of formula units): 35
DOS(E_F) (states/eV/atom): 1.191
Final energy (eV/cell): -21.52

a = 4.9129 Å, b = 4.9129 Å, c = 4.9129 Å
α = 60.00°, β = 60.00°, γ = 60.00°
With the nearest neighbours (Å) after each atom.
Positions (direct):
Hf 0.2500 0.2500 0.2500  4 Hg 3.01, 4 Br 3.01
Hf 0.7500 0.7500 0.7500  4 Hg 3.01, 4 Br 3.01
Hg 0.5000 0.5000 0.5000  8 Hf 3.01
Br 0.0000 0.0000 0.0000  8 Hf 3.01


(19)
The following is a PBE-GGA calculation of a geometry-optimized SrMgZr2 structure, from the Alexandria database.

DOS(E_F) (states/eV/atom): 1.310
Final energy (eV/cell): -18.60
Formation energy (eV per atom): 0.443

a = 3.1561 Å, b = 3.1561 Å, c = 11.6725 Å
α = 90.00°, β = 90.00°, γ = 114.22°
With the nearest neighbours (Å) after each atom.
Positions (direct):
Mg 0.5000 0.5000 0.2500  6 Mg 3.16-3.43, 4 Zr 3.19
Sr 0.5000 0.5000 0.7500  6 Sr 3.16-3.43
Zr 0.0000 0.0000 0.0198  6 Zr 3.16-3.43, 2 Mg 3.19
Zr 0.0000 0.0000 0.4802  6 Zr 3.16-3.43, 2 Mg 3.19


(20)
The following is a PBE-GGA calculation of a geometry-optimized YMoPt2 structure, from the Alexandria database.

DOS(E_F) (states/eV/atom): 1.219
Final energy (eV/cell): -30.62
Formation energy (eV per atom): -0.312

a = 5.1850 Å, b = 5.1850 Å, c = 5.1850 Å
α = 133.51°, β = 133.53°, γ = 67.84°
With the nearest neighbours (Å) after each atom.
Positions (direct):
Mo 0.2500 0.7500 0.5000  8 Pt 2.89-2.97, 4 Y 2.97
Pt 0.0001 0.0001 0.0000  4 Y 2.89, 4 Pt 2.97, 4 Mo 2.97
Pt 0.7500 0.2500 0.5000  4 Mo 2.89, 4 Pt 2.97, 4 Y 2.97
Y 0.5000 0.5000 0.0000  8 Pt 2.89-2.97, 4 Mo 2.97